No. 1
An optimized crystal structure of LaAg2Mo, computed with PBE-GGA.

Results
Its energy relative to the elements is 36 kJ/mol of atoms. The magnetization is 0.00 μB per atom. As for the space-group type: P4mm, No. 99. Its energy is -19.99 eV per cell.

Cell: 2.9411 2.9411 9.3889 Å, 90.00 90.00 89.99°
Fractional coordinates of all 4 atoms:
Ag (0.0000, 0.0000, 0.9966)
Ag (0.5000, 0.5000, 0.2195)
La (0.0000, 0.0000, 0.5052)
Mo (0.5000, 0.5000, 0.7786)

---

No. 2
An optimized crystal structure of Hf2Be2Bi, computed with PBE-GGA.

Results
Its energy relative to the elements is -6 kJ/mol of atoms. The magnetization is 0.00 μB per atom. As for the space-group type: P4/mbm, No. 127. Its energy is -63.12 eV per cell.

Cell: 6.6309 6.6309 3.8607 Å, 90.00 90.00 90.00°
Fractional coordinates of all 10 atoms:
Be (0.3908, 0.8908, 0.0000)
Be (0.8908, 0.6092, 0.0000)
Be (0.6092, 0.1092, 0.0000)
Be (0.1092, 0.3908, 0.0000)
Hf (0.1699, 0.6699, 0.5000)
Hf (0.6699, 0.8301, 0.5000)
Hf (0.8301, 0.3301, 0.5000)
Hf (0.3301, 0.1699, 0.5000)
Bi (0.0000, 0.0000, 0.0000)
Bi (0.5000, 0.5000, 0.0000)

---

No. 3
An optimized crystal structure of CuRu, computed with PBE-GGA.

Results
Its energy relative to the elements is 91 kJ/mol of atoms. The magnetization is 0.56 μB per atom. As for the space-group type: P4_2/mnm, No. 136. Its energy is -45.91 eV per cell.

Cell: 4.8697 4.8697 4.9902 Å, 90.00 90.00 90.00°
Site moments in Bohr magnetons follow the coordinates.
Fractional coordinates of all 8 atoms:
Cu (0.1787, 0.8213, 0.0000)  0.08
Cu (0.6787, 0.6787, 0.5000)  0.08
Cu (0.3213, 0.3213, 0.5000)  0.08
Cu (0.8213, 0.1787, 0.0000)  0.08
Ru (0.3220, 0.3220, 0.0000)  1.03
Ru (0.8220, 0.1780, 0.5000)  1.03
Ru (0.1780, 0.8220, 0.5000)  1.03
Ru (0.6780, 0.6780, 0.0000)  1.03

---

No. 4
An optimized crystal structure of LaZrAs2, computed with PBE-GGA.

Results
Its energy relative to the elements is -72 kJ/mol of atoms. The magnetization is 0.00 μB per atom. As for the space-group type: I-42d, No. 122. Its energy is -51.55 eV per cell.

Cell: 6.5366 6.5366 7.7167 Å, 64.94 64.94 90.00°
Fractional coordinates of all 8 atoms:
As (0.5832, 0.1250, 0.2500)
As (0.1668, 0.6250, 0.2500)
As (0.3750, 0.4168, 0.7500)
As (0.8750, 0.8332, 0.7500)
Zr (0.5000, 0.5000, 0.0000)
Zr (0.2500, 0.7500, 0.5000)
La (0.0000, 0.0000, 0.0000)
La (0.7500, 0.2500, 0.5000)

---

No. 5
An optimized crystal structure of LiCaHfHg2, computed with PBE-GGA.

Results
Its energy relative to the elements is 42 kJ/mol of atoms. The magnetization is 0.22 μB per atom. As for the space-group type: P4/mmm, No. 123. Its energy is -12.27 eV per cell.

Cell: 5.4290 5.2828 5.4290 Å, 90.00 90.00 90.00°
Site moments in Bohr magnetons follow the coordinates.
Fractional coordinates of all 5 atoms:
Ca (0.5000, 0.5000, 0.5000)  0.00
Hf (0.0000, 0.0000, 0.0000)  0.61
Hg (0.0000, 0.0000, 0.5000)  0.02
Hg (0.5000, 0.0000, 0.0000)  0.05
Li (0.0000, 0.5000, 0.0000)  0.08

---

No. 6
An optimized crystal structure of Er4Th5, computed with PBE-GGA.

Results
Its energy relative to the elements is 12 kJ/mol of atoms. The magnetization is 0.00 μB per atom. As for the space-group type: I4/mmm, No. 139. Its energy is -54.26 eV per cell.

Cell: 3.6137 9.0668 9.0668 Å, 87.72 78.51 78.51°
Fractional coordinates of all 9 atoms:
Er (0.6644, 0.3356, 0.3356)
Er (0.3356, 0.6644, 0.6644)
Er (0.0000, 0.3356, 0.6644)
Er (0.0000, 0.6644, 0.3356)
Th (0.0000, 0.0000, 0.0000)
Th (0.6680, 0.6640, 0.0000)
Th (0.3320, 0.3360, 0.0000)
Th (0.3320, 0.0000, 0.3360)
Th (0.6680, 0.0000, 0.6640)

---

No. 7
An optimized crystal structure of KBaB5O9, computed with PBE-GGA.

Results
The magnetization is 0.00 μB per atom. As for the space-group type: P2_1/c, No. 14. Its energy is -487.79 eV per cell.

Cell: 6.8034 8.4631 14.6646 Å, 90.00 92.56 90.00°
Fractional coordinates of all 64 atoms:
K (0.4884, 0.8450, 0.5958)
K (0.5116, 0.3450, 0.9042)
K (0.5116, 0.1550, 0.4042)
K (0.4884, 0.6550, 0.0958)
Ba (0.9286, 0.5167, 0.7339)
Ba (0.0714, 0.4833, 0.2661)
Ba (0.0714, 0.0167, 0.7661)
Ba (0.9286, 0.9833, 0.2339)
B (0.7943, 0.7311, 0.3965)
B (0.8424, 0.1944, 0.5709)
B (0.1576, 0.6944, 0.9291)
B (0.9344, 0.7092, 0.0565)
B (0.7943, 0.7689, 0.8965)
B (0.3973, 0.0282, 0.1949)
B (0.0656, 0.2092, 0.4435)
B (0.6027, 0.9718, 0.8051)
B (0.4613, 0.7995, 0.3217)
B (0.1576, 0.8056, 0.4291)
B (0.0656, 0.2908, 0.9435)
B (0.2057, 0.2311, 0.1035)
B (0.2057, 0.2689, 0.6035)
B (0.6027, 0.5282, 0.3051)
B (0.9344, 0.7908, 0.5565)
B (0.3973, 0.4718, 0.6949)
B (0.4613, 0.7005, 0.8217)
B (0.5387, 0.2995, 0.1783)
B (0.5387, 0.2005, 0.6783)
B (0.8424, 0.3056, 0.0709)
O (0.8783, 0.1753, 0.4790)
O (0.7548, 0.5658, 0.3666)
O (0.4420, 0.8725, 0.7924)
O (0.9943, 0.2635, 0.1318)
O (0.0057, 0.7365, 0.8682)
O (0.6543, 0.3298, 0.0960)
O (0.1217, 0.8247, 0.5210)
O (0.9092, 0.8012, 0.6466)
O (0.3345, 0.1597, 0.6561)
O (0.2452, 0.0658, 0.1334)
O (0.2164, 0.2458, 0.0049)
O (0.6543, 0.1702, 0.5960)
O (0.7548, 0.9342, 0.8666)
O (0.9943, 0.2365, 0.6318)
O (0.6243, 0.3896, 0.2577)
O (0.6655, 0.8403, 0.3439)
O (0.0057, 0.7635, 0.3682)
O (0.3457, 0.8298, 0.4040)
O (0.0908, 0.1988, 0.3534)
O (0.7836, 0.7458, 0.4951)
O (0.4420, 0.6275, 0.2924)
O (0.5580, 0.3725, 0.7076)
O (0.3757, 0.8896, 0.2423)
O (0.9092, 0.6988, 0.1466)
O (0.3345, 0.3403, 0.1561)
O (0.7836, 0.7542, 0.9951)
O (0.3757, 0.6104, 0.7423)
O (0.8783, 0.3247, 0.9790)
O (0.2452, 0.4342, 0.6334)
O (0.2164, 0.2542, 0.5049)
O (0.1217, 0.6753, 0.0210)
O (0.3457, 0.6702, 0.9040)
O (0.6243, 0.1104, 0.7577)
O (0.6655, 0.6597, 0.8439)
O (0.0908, 0.3012, 0.8534)
O (0.5580, 0.1275, 0.2076)

---

No. 8
An optimized crystal structure of Ac2Pr3Dy7, computed with PBE-GGA.

Results
Its energy relative to the elements is 11 kJ/mol of atoms. The magnetization is 0.00 μB per atom. As for the space-group type: P2/m, No. 10. Its energy is -53.43 eV per cell.

Cell: 3.6304 6.4753 18.3885 Å, 76.16 90.00 90.00°
Fractional coordinates of all 12 atoms:
Ac (0.5000, 0.6234, 0.3249)
Ac (0.5000, 0.3766, 0.6751)
Pr (0.5000, 0.5000, 0.0000)
Pr (0.0000, 0.1169, 0.3401)
Pr (0.0000, 0.8831, 0.6599)
Dy (0.5000, 0.2433, 0.4986)
Dy (0.5000, 0.7567, 0.5014)
Dy (0.0000, 0.5642, 0.1595)
Dy (0.0000, 0.0000, 0.0000)
Dy (0.0000, 0.4358, 0.8405)
Dy (0.5000, 0.9341, 0.8386)
Dy (0.5000, 0.0659, 0.1614)

---

These records have theoretical density values of 9.213 11.425 9.240 4.780 6.683 10.648 2.949 7.969 Mg/m³, in the order they appear.